# 1
The following is a PBE calculation of a geometry-optimized Pa2WS structure, from the Alexandria database.

Computed properties:
M_tot (μB per cell): 0.0
Energy relative to the elements, uncorrected (kJ per mole of atoms): 4.1

Unit cell a=3.2302 b=3.2302 c=28.3093 alpha=90.00 beta=90.00 gamma=120.00
Space group R-3m (No. 166, hexagonal axes)
Asymmetric unit:
Pa 0.0000 0.0000 0.0929 x6
W 0.0000 0.0000 0.0000 x3
S 0.0000 0.0000 0.5000 x3


# 2
The following is a PBE calculation of a geometry-optimized CaBiAs3 structure, from the Alexandria database.

Computed properties:
Polymorph energy (0 for the lowest one) (eV/atom): 0.2424
Energy of formation from the pure elements (eV per atom): 0.676
M_tot (μB per cell): 0.0

Unit cell a=5.316 b=5.316 c=5.316 alpha=90.00 beta=90.00 gamma=90.00
Space group Pm-3m (No. 221)
Asymmetric unit:
Ca 0.000 0.000 0.000 x1
Bi 0.500 0.500 0.500 x1
As 0.000 0.000 0.500 x3


# 3
The following is a PBE calculation of a geometry-optimized Li3B8C8 structure, from the Alexandria database.

Computed properties:
Polymorph energy (0 for the lowest one) (eV/atom): 0.1089
Energy of formation from the pure elements (eV per atom): 0.115
M_tot (μB per cell): 0.0

Unit cell a=26.938 b=2.713 c=4.662 alpha=90.00 beta=99.11 gamma=90.00
Space group C2/m (No. 12)
Asymmetric unit:
Li 0.000 0.000 0.000 x2
Li 0.250 0.000 0.250 x4
B 0.066 0.000 0.409 x4
B 0.073 0.500 0.915 x4
B 0.182 0.000 0.857 x4
B 0.183 0.500 0.357 x4
C 0.064 0.500 0.240 x4
C 0.072 0.000 0.748 x4
C 0.185 0.000 0.522 x4
C 0.185 0.500 0.023 x4


# 4
The following is a PBE calculation of a geometry-optimized SrTl2BiPb structure, from the Alexandria database.

Computed properties:
Energy of formation from the pure elements (eV per atom): -0.152
M_tot (μB per cell): 0.0

Unit cell a=3.625 b=18.662 c=10.913 alpha=90.00 beta=90.00 gamma=90.00
Space group Cmcm (No. 63)
Asymmetric unit:
Sr 0.000 0.068 0.250 x4
Tl 0.000 0.330 0.054 x8
Bi 0.000 0.266 0.750 x4
Pb 0.000 0.500 0.000 x4


# 5
The following is a PBE calculation of a geometry-optimized NdDy8Th6 structure, from the Alexandria database.

Computed properties:
Energy of formation from the pure elements (eV per atom): 0.161
M_tot (μB per cell): 0.0

Unit cell a=8.8556 b=8.8556 c=21.3433 alpha=90.00 beta=90.00 gamma=120.00
Space group R-3 (No. 148, hexagonal axes)
Asymmetric unit:
Nd 0.0000 0.0000 0.0000 x3
Dy 0.0000 0.0000 0.4200 x6
Dy 0.0613 0.8064 0.1338 x18
Th 0.0241 0.2429 0.7087 x18


# 6
The following is a PBE calculation of a geometry-optimized Li2HfRh2 structure, from the Alexandria database.

Computed properties:
Polymorph energy (0 for the lowest one) (eV/atom): 0.0325
Energy of formation from the pure elements (eV per atom): -0.348
M_tot (μB per cell): 0.0

Unit cell a=6.727 b=6.727 c=3.081 alpha=90.00 beta=90.00 gamma=90.00
Space group P4/mbm (No. 127)
Asymmetric unit:
Li 0.107 0.393 0.000 x4
Hf 0.000 0.000 0.000 x2
Rh 0.192 0.692 0.500 x4


# 7
The following is a PBE calculation of a geometry-optimized LaUPb2O8 structure, from the Alexandria database.

Computed properties:
M_tot (μB per cell): 0.0
Energy relative to the elements, uncorrected (kJ per mole of atoms): -208.6

Unit cell a=7.383 b=7.411 c=7.170 alpha=90.00 beta=90.00 gamma=90.00
Space group Cmmm (No. 65)
Asymmetric unit:
La 0.000 0.000 0.000 x2
U 0.000 0.000 0.500 x2
Pb 0.000 0.500 0.253 x4
O 0.000 0.298 0.500 x4
O 0.000 0.317 0.000 x4
O 0.182 0.000 0.284 x8


# 8
The following is a PBE calculation of a geometry-optimized Tm6Te3SeS2 structure, from the Alexandria database.

Computed properties:
M_tot (μB per cell): 0.0
Energy relative to the elements, uncorrected (kJ per mole of atoms): -147.4

Unit cell a=7.040 b=12.217 c=7.223 alpha=90.00 beta=108.98 gamma=90.00
Space group C2/m (No. 12)
Asymmetric unit:
Tm 0.220 0.000 0.202 x4
Tm 0.242 0.326 0.205 x8
Te 0.000 0.000 0.500 x2
Te 0.000 0.337 0.500 x4
Se 0.000 0.500 0.000 x2
S 0.000 0.167 0.000 x4